GGA+U FeCoIO2, optimized geometry; D(E_F) = 3.31 states/eV/f.u.; magnetization = 7.53 μB/f.u.; electronic total energy = -4.383 eV/atom
1.0
-2.904 -1.650 -1.970
1.048 -3.475 1.365
-3.381 0.705 4.393
I Co Fe O
1 1 1 2
Cartesian
-1.690 0.353 2.196 I
0.000 0.000 0.000 Co
-2.618 -2.210 1.894 Fe
0.524 -1.738 0.682 O
-1.452 -0.825 -0.985 O